(1)
Density functional theory data (PBE) for a geometry-optimized LiTe2Pb structure.

Values from the calculation:
Mass density, g/cm³: 6.81
Energy relative to the elements, uncorrected, eV/atom: -0.386
Volume, Å³ per cell: 114.4

Unit cell a=4.245 b=4.240 c=6.805 alpha=69.09 beta=90.00 gamma=90.00
Sites, in units of the cell vectors:
Te 0.000 0.468 0.480
Te 0.000 0.032 0.020
Li 0.500 0.250 0.250
Pb 0.500 0.750 0.750

(2)
Density functional theory data (PBE) for a geometry-optimized LiTe2Pb structure.

Values from the calculation:
Mass density, g/cm³: 6.46
Energy relative to the elements, uncorrected, eV/atom: -0.411
Volume, Å³ per cell: 120.6

Unit cell a=5.977 b=3.350 c=6.034 alpha=93.86 beta=90.00 gamma=90.00
Sites, in units of the cell vectors:
Pb 0.500 0.694 0.871
Te 0.000 0.003 0.837
Te 0.500 0.376 0.359
Li 0.000 0.426 0.433

What did we get for final energy? Answer: -3.363, -3.387 eV/atom, in the order shown.
What did we get for magnetization? Answer: 0.00, 0.00 Bohr magnetons per cell, in the order shown.